{
  "formula": "TiMnS2",
  "functional": "PBE-GGA",
  "state": "relaxed",
  "space_group": "R-3m",
  "crystal_system": "trigonal",
  "relative_energy_mev_per_atom": 563.3,
  "e_form_raw_ev_per_atom": -0.3648,
  "final_energy_ev_per_atom": -6.695,
  "lattice_angstrom": [[1.571, 0.907, 7.528], [-1.571, 0.907, 7.528], [0.000, -1.814, 7.528]],
  "species": ["Ti", "Mn", "S", "S"],
  "fractional_positions": [[0.000, 0.000, 0.000], [0.500, 0.500, 0.500], [0.404, 0.404, 0.404], [0.596, 0.596, 0.596]]
}

{
  "formula": "Tb4Bi2H",
  "functional": "PBE-GGA",
  "state": "relaxed",
  "space_group": "I4/mmm",
  "crystal_system": "tetragonal",
  "relative_energy_mev_per_atom": 0.0,
  "final_energy_ev_per_atom": -4.851,
  "lattice_angstrom": [[-2.269, 2.269, 8.693], [2.269, -2.269, 8.693], [2.269, 2.269, -8.693]],
  "species": ["Tb", "Tb", "Tb", "Tb", "Bi", "Bi", "H"],
  "fractional_positions": [[0.000, 0.500, 0.500], [0.177, 0.177, 0.000], [0.500, 0.000, 0.500], [0.823, 0.823, 0.000], [0.361, 0.361, 0.000], [0.639, 0.639, 0.000], [0.000, 0.000, 0.000]]
}

{
  "formula": "YCu3F",
  "functional": "PBE-GGA",
  "state": "relaxed",
  "space_group": "Pm-3m",
  "crystal_system": "cubic",
  "e_form_raw_ev_per_atom": 0.0034,
  "final_energy_ev_per_atom": -4.121,
  "lattice_angstrom": [[4.374, 0.000, 0.000], [0.000, 4.374, 0.000], [0.000, 0.000, 4.374]],
  "species": ["Y", "Cu", "Cu", "Cu", "F"],
  "fractional_positions": [[0.000, 0.000, 0.000], [0.000, 0.500, 0.500], [0.500, 0.000, 0.500], [0.500, 0.500, 0.000], [0.500, 0.500, 0.500]]
}

Number 1: mass density 4.31 Mg/m³, Fermi-level density of states 8.94 states/eV/f.u.. Number 2: mass density 9.79 Mg/m³, Fermi-level density of states 6.50 states/eV/f.u.. Number 3: mass density 5.93 Mg/m³, Fermi-level density of states 9.57 states/eV/f.u..